1.
Entry from Alexandria via LeMat-Bulk: a relaxed TbSc3N4 crystal (GGA-PBE).

Cell and atoms, written as POSCAR:
```
TbSc3N4
1.0
5.6714 0.0000 0.0000
0.0000 6.5669 0.0000
-1.8897 0.0000 5.3501
Tb Sc N
2 6 8
Cartesian
-0.4724 0.8396 1.3375
-1.4173 5.7274 4.0126
-1.4173 2.4828 4.0126
-0.4724 4.0842 1.3375
1.4184 0.8666 4.0126
2.3633 2.4787 1.3375
1.4184 4.0882 4.0126
2.3633 5.7004 1.3375
0.4796 2.5050 2.7187
1.4245 4.0619 0.0436
-0.3958 0.8816 5.3344
0.5491 5.6853 2.6594
3.2326 0.8816 2.6908
4.1774 5.6853 0.0157
2.3572 2.5050 5.3065
3.3021 4.0619 2.6314
```

N(E_F): 0.378 states/eV/f.u.
formation energy from raw total energies: -1.800 eV per atom
space-group type: No. 13
DFT total energy: -8.916 eV/atom

---

2.
Entry from Alexandria via LeMat-Bulk: a relaxed DyBe3As3 crystal (GGA-PBE).

Cell and atoms, written as POSCAR:
```
DyBe3As3
1.0
3.3213 1.9175 6.6033
-3.3213 1.9175 6.6033
0.0000 -3.8351 6.6033
Dy Be As
2 6 6
Cartesian
0.0000 0.0000 3.2939
0.0000 0.0000 16.5160
-1.1068 -1.9504 7.4402
-2.2426 -0.0167 12.3697
-1.1357 1.9338 7.4402
1.1357 -1.9338 12.3697
2.2426 0.0167 7.4402
1.1068 1.9504 12.3697
-2.1679 -0.0046 8.1092
-1.0800 -1.8797 11.7007
1.0879 -1.8752 8.1092
-1.0879 1.8752 11.7007
1.0800 1.8797 8.1092
2.1679 0.0046 11.7007
```

N(E_F): 0.199 states/eV/f.u.
energy of formation: -0.527 eV per atom
space-group type: No. 148
DFT total energy: -4.774 eV/atom

---

3.
Entry from Alexandria via LeMat-Bulk: a relaxed Ac6Tl5Sn crystal (GGA-PBE).

Cell and atoms, written as POSCAR:
```
Ac6Tl5Sn
1.0
5.0491 -8.7677 0.0000
5.0491 8.7677 0.0000
-3.3687 0.0000 4.7666
Ac Tl Sn
6 5 1
Cartesian
-0.0283 2.8791 3.5569
1.6386 0.0000 1.1619
-0.0283 -2.8791 3.5569
6.7577 2.8791 1.2097
5.0909 0.0000 3.6047
6.7577 -2.8791 1.2097
5.0491 5.7196 0.0000
3.3647 2.8957 2.3833
5.0491 0.0000 0.0000
3.3647 -2.8957 2.3833
5.0491 -5.7196 0.0000
-1.6844 0.0000 2.3833
```

N(E_F): 9.367 states/eV/f.u.
energy of formation: -0.406 eV per atom
space-group type: No. 12
DFT total energy: -3.780 eV/atom

---

4.
Entry from Alexandria via LeMat-Bulk: a relaxed CuPbCl2 crystal (GGA-PBE).

Cell and atoms, written as POSCAR:
```
CuPbCl2
1.0
5.0426 0.0000 0.0000
0.0000 3.7896 0.0000
-2.3214 0.0000 5.1300
Cu Pb Cl
1 1 2
Cartesian
0.0000 0.0000 0.0000
-1.0580 1.8948 3.5402
0.9955 0.0000 2.0471
3.5761 1.8948 0.1369
```

N(E_F): 1.522 states/eV/f.u.
formation energy from raw total energies: -0.494 eV per atom
space-group type: No. 6
ΔE to the lowest computed polymorph: 0.008 eV/atom
DFT total energy: -3.368 eV/atom

---

5.
Entry from Alexandria via LeMat-Bulk: a relaxed TbPrHo2Er crystal (GGA-PBE).

Cell and atoms, written as POSCAR:
```
TbPrHo2Er
1.0
4.1963 -5.7412 0.0000
4.1963 5.7412 0.0000
0.0000 0.0000 7.1964
Tb Pr Ho Er
2 2 4 2
Cartesian
4.1963 -5.7371 1.7991
4.1963 5.7371 5.3973
4.1963 2.6283 5.3973
4.1963 -2.6283 1.7991
2.6086 0.0000 0.0000
2.6086 0.0000 3.5982
5.7841 0.0000 0.0000
5.7841 0.0000 3.5982
4.1963 2.5395 1.7991
4.1963 -2.5395 5.3973
```

N(E_F): 7.319 states/eV/f.u.
energy of formation: 0.382 eV per atom
space-group type: No. 63
DFT total energy: -4.243 eV/atom

---

6.
Entry from Alexandria via LeMat-Bulk: a relaxed Li5Pr2Zn5 crystal (GGA-PBE).

Cell and atoms, written as POSCAR:
```
Li5Pr2Zn5
1.0
4.5754 0.0000 0.0000
0.0000 5.2916 0.0000
0.0000 0.0000 9.4813
Li Pr Zn
5 2 5
Cartesian
0.0000 0.0000 0.0000
0.0000 1.3236 2.4315
0.0000 1.3236 7.0499
0.0000 3.9680 2.4315
0.0000 3.9680 7.0499
2.2877 0.0000 4.7407
2.2877 2.6458 0.0000
0.0000 2.6458 4.7407
2.2877 0.0000 1.5889
2.2877 0.0000 7.8924
2.2877 2.6458 3.1265
2.2877 2.6458 6.3548
```

N(E_F): 8.276 states/eV/f.u.
energy of formation: -0.186 eV per atom
space-group type: No. 47
DFT total energy: -2.311 eV/atom

---

7.
Entry from Alexandria via LeMat-Bulk: a relaxed Ce6CoHg crystal (GGA-PBE).

Cell and atoms, written as POSCAR:
```
Ce6CoHg
1.0
7.6894 0.0000 0.0000
0.0000 9.4395 0.0000
-1.8877 0.0000 5.8234
Ce Co Hg
12 2 2
Cartesian
0.2884 1.9096 1.7875
0.2884 7.5299 1.7875
1.2931 4.7197 0.5436
0.6639 0.0000 5.2798
1.6686 2.8102 4.0360
1.6686 6.6293 4.0360
4.1331 2.8102 1.7875
4.1331 6.6293 1.7875
5.1378 0.0000 0.5436
4.5086 4.7197 5.2798
5.5133 1.9096 4.0360
5.5133 7.5299 4.0360
0.0000 0.0000 0.0000
3.8447 4.7197 0.0000
-0.9439 4.7197 2.9117
2.9008 0.0000 2.9117
```

N(E_F): 22.819 states/eV/f.u.
energy of formation: -0.041 eV per atom
space-group type: No. 12
DFT total energy: -5.418 eV/atom

---

8.
Entry from Alexandria via LeMat-Bulk: a relaxed LiMo3 crystal (GGA-PBE).

Cell and atoms, written as POSCAR:
```
LiMo3
1.0
2.7389 0.0000 0.0000
-1.3695 2.3720 0.0000
0.0000 0.0000 9.9441
Li Mo
1 3
Cartesian
0.0000 0.0000 0.0000
0.0000 0.0000 4.9720
1.3695 0.7907 2.5269
1.3695 0.7907 7.4172
```

N(E_F): 3.351 states/eV/f.u.
energy of formation: 0.429 eV per atom
space-group type: No. 187
ΔE to the lowest computed polymorph: 0.197 eV/atom
DFT total energy: -8.172 eV/atom

---

9.
Entry from Alexandria via LeMat-Bulk: a relaxed Cu2MoPt crystal (GGA-PBE).

Cell and atoms, written as POSCAR:
```
Cu2MoPt
1.0
2.6449 0.0000 0.0000
0.0000 4.4494 0.0000
-0.2323 0.0000 4.8478
Cu Mo Pt
2 1 1
Cartesian
0.3478 0.0000 1.1740
2.0648 0.0000 3.6738
1.3225 2.2247 0.0000
-0.1162 2.2247 2.4239
```

N(E_F): 2.873 states/eV/f.u.
energy of formation: 0.075 eV per atom
space-group type: No. 10
ΔE to the lowest computed polymorph: 0.133 eV/atom
DFT total energy: -6.191 eV/atom

---

10.
Entry from Alexandria via LeMat-Bulk: a relaxed Mg5Ag4Pb crystal (GGA-PBE).

Cell and atoms, written as POSCAR:
```
Mg5Ag4Pb
1.0
3.3868 0.0000 0.0000
0.0000 3.3868 0.0000
0.0000 0.0000 17.4433
Mg Ag Pb
5 4 1
Cartesian
0.0000 0.0000 0.0000
0.0000 0.0000 3.2456
0.0000 0.0000 6.4985
0.0000 0.0000 10.9449
0.0000 0.0000 14.1977
1.6934 1.6934 1.6295
1.6934 1.6934 4.8669
1.6934 1.6934 12.5764
1.6934 1.6934 15.8138
1.6934 1.6934 8.7217
```

N(E_F): 3.269 states/eV/f.u.
energy of formation: -0.202 eV per atom
space-group type: No. 123
DFT total energy: -2.511 eV/atom

---

11.
Entry from Alexandria via LeMat-Bulk: a relaxed SiPRh crystal (GGA-PBE).

Cell and atoms, written as POSCAR:
```
SiPRh
1.0
2.8762 0.0000 0.0000
0.0000 3.3878 0.0000
0.0000 0.0000 4.6588
Si P Rh
1 1 1
Cartesian
0.0000 0.0000 0.0000
0.0000 1.6939 3.1067
1.4381 1.6939 1.2135
```

N(E_F): 1.101 states/eV/f.u.
formation energy from raw total energies: -0.321 eV per atom
space-group type: No. 25
DFT total energy: -6.383 eV/atom

---

12.
Entry from Alexandria via LeMat-Bulk: a relaxed AcY2Ni9 crystal (GGA-PBE).

Cell and atoms, written as POSCAR:
```
AcY2Ni9
1.0
2.5347 1.4634 8.1613
-2.5347 1.4634 8.1613
0.0000 -2.9269 8.1613
Ac Y Ni
1 2 9
Cartesian
0.0000 0.0000 0.0000
0.0000 0.0000 3.4495
0.0000 0.0000 21.0346
-1.2688 -0.7326 10.2166
0.0000 0.0000 8.1401
0.0000 -1.4651 14.2674
-1.2688 0.7326 14.2674
0.0000 0.0000 12.2420
1.2688 -0.7326 10.2166
0.0000 1.4651 10.2166
0.0000 0.0000 16.3440
1.2688 0.7326 14.2674
```

N(E_F): 15.767 states/eV/f.u.
energy of formation: -0.336 eV per atom
space-group type: No. 166
DFT total energy: -6.092 eV/atom

---

13.
Entry from Alexandria via LeMat-Bulk: a relaxed CoSnSb6 crystal (GGA-PBE).

Cell and atoms, written as POSCAR:
```
CoSnSb6
1.0
6.8480 -4.7528 0.0000
6.8480 4.7528 0.0000
-6.8187 0.0000 7.1062
Co Sn Sb
2 2 12
Cartesian
3.4240 2.3764 0.0000
3.4240 -2.3764 0.0000
0.0146 2.3764 3.5531
0.0146 -2.3764 3.5531
5.6308 3.2875 0.8816
1.2464 3.2875 6.2246
2.6265 1.4917 2.2787
-2.3351 0.0000 6.9777
0.0917 0.0000 5.2990
4.2507 1.4917 4.8275
2.6265 -1.4917 2.2787
6.7855 0.0000 1.8073
9.2123 0.0000 0.1285
4.2507 -1.4917 4.8275
5.6308 -3.2875 0.8816
1.2464 -3.2875 6.2246
```

N(E_F): 3.516 states/eV/f.u.
formation energy from raw total energies: 0.014 eV per atom
space-group type: No. 12
DFT total energy: -4.467 eV/atom